A plane-wave DFT calculation with PBE-GGA was carried out for a relaxed structure of Rb2UTl3S6.

energy: -4.612 eV/atom
V: 372.7 Å³/cell

Lattice parameters (Å, degrees): 8.218 8.218 7.372 101.76 101.76 123.85
Atoms (fractional coordinates):
Rb (0.173, 0.827, 0.000)
Rb (0.827, 0.173, 0.000)
U (0.500, 0.500, 0.000)
Tl (0.000, 0.000, 0.500)
Tl (0.351, 0.649, 0.500)
Tl (0.649, 0.351, 0.500)
S (0.152, 0.406, 0.768)
S (0.305, 0.305, 0.208)
S (0.406, 0.152, 0.768)
S (0.594, 0.848, 0.232)
S (0.695, 0.695, 0.792)
S (0.848, 0.594, 0.232)

***

A plane-wave DFT calculation with PBE-GGA was carried out for a relaxed structure of RbUTl2S4.

energy: -5.020 eV/atom
V: 245.4 Å³/cell

Lattice parameters (Å, degrees): 8.302 8.302 8.302 138.84 138.84 59.61
Atoms (fractional coordinates):
Rb (0.000, 0.000, 0.000)
U (0.250, 0.750, 0.500)
Tl (0.500, 0.500, 0.000)
Tl (0.750, 0.250, 0.500)
S (0.077, 0.577, 0.500)
S (0.252, 0.252, 0.000)
S (0.423, 0.923, 0.500)
S (0.748, 0.748, 0.000)

***

A plane-wave DFT calculation with PBE-GGA was carried out for a relaxed structure of Rb3UTl2S6.

energy: -4.606 eV/atom
V: 363.5 Å³/cell

Lattice parameters (Å, degrees): 7.481 7.481 7.879 99.10 99.10 119.70
Atoms (fractional coordinates):
Rb (0.000, 0.000, 0.000)
Rb (0.321, 0.679, 0.000)
Rb (0.679, 0.321, 0.000)
U (0.500, 0.500, 0.500)
Tl (0.165, 0.835, 0.500)
Tl (0.835, 0.165, 0.500)
S (0.149, 0.435, 0.303)
S (0.287, 0.287, 0.702)
S (0.435, 0.149, 0.303)
S (0.565, 0.851, 0.697)
S (0.713, 0.713, 0.298)
S (0.851, 0.565, 0.697)

***

A plane-wave DFT calculation with PBE-GGA was carried out for a relaxed structure of Rb2U3TlS8.

energy: -6.347 eV/atom
V: 462.4 Å³/cell

Lattice parameters (Å, degrees): 9.297 9.297 9.297 52.07 52.07 52.07
Atoms (fractional coordinates):
Rb (0.000, 0.000, 0.000)
Rb (0.364, 0.364, 0.364)
U (0.364, 0.364, 0.865)
U (0.364, 0.865, 0.364)
U (0.865, 0.364, 0.364)
Tl (0.745, 0.745, 0.745)
S (0.106, 0.106, 0.555)
S (0.106, 0.555, 0.106)
S (0.139, 0.139, 0.139)
S (0.168, 0.624, 0.624)
S (0.555, 0.106, 0.106)
S (0.589, 0.589, 0.589)
S (0.624, 0.168, 0.624)
S (0.624, 0.624, 0.168)

***

A plane-wave DFT calculation with PBE-GGA was carried out for a relaxed structure of RbU3Tl4S12.

energy: -5.470 eV/atom
V: 601.9 Å³/cell

Lattice parameters (Å, degrees): 9.213 9.213 9.213 109.47 109.47 109.47
Atoms (fractional coordinates):
Rb (0.000, 0.000, 0.000)
U (0.000, 0.500, 0.500)
U (0.500, 0.000, 0.500)
U (0.500, 0.500, 0.000)
Tl (0.000, 0.000, 0.500)
Tl (0.000, 0.500, 0.000)
Tl (0.500, 0.000, 0.000)
Tl (0.500, 0.500, 0.500)
S (0.000, 0.276, 0.276)
S (0.000, 0.724, 0.724)
S (0.250, 0.500, 0.750)
S (0.250, 0.750, 0.500)
S (0.276, 0.000, 0.276)
S (0.276, 0.276, 0.000)
S (0.500, 0.250, 0.750)
S (0.500, 0.750, 0.250)
S (0.724, 0.000, 0.724)
S (0.724, 0.724, 0.000)
S (0.750, 0.250, 0.500)
S (0.750, 0.500, 0.250)

***

A plane-wave DFT calculation with PBE-GGA was carried out for a relaxed structure of Rb4U3TlS12.

energy: -5.607 eV/atom
V: 574.6 Å³/cell

Lattice parameters (Å, degrees): 9.071 9.071 9.071 109.47 109.47 109.47
Atoms (fractional coordinates):
Rb (0.000, 0.000, 0.500)
Rb (0.000, 0.500, 0.000)
Rb (0.500, 0.000, 0.000)
Rb (0.500, 0.500, 0.500)
U (0.000, 0.500, 0.500)
U (0.500, 0.000, 0.500)
U (0.500, 0.500, 0.000)
Tl (0.000, 0.000, 0.000)
S (0.000, 0.267, 0.267)
S (0.000, 0.733, 0.733)
S (0.250, 0.500, 0.750)
S (0.250, 0.750, 0.500)
S (0.267, 0.000, 0.267)
S (0.267, 0.267, 0.000)
S (0.500, 0.250, 0.750)
S (0.500, 0.750, 0.250)
S (0.733, 0.000, 0.733)
S (0.733, 0.733, 0.000)
S (0.750, 0.250, 0.500)
S (0.750, 0.500, 0.250)

***

A plane-wave DFT calculation with PBE-GGA was carried out for a relaxed structure of Rb2UTlS4.

energy: -4.948 eV/atom
V: 302.8 Å³/cell

Lattice parameters (Å, degrees): 7.392 7.392 7.392 115.14 115.14 98.65
Atoms (fractional coordinates):
Rb (0.000, 0.000, 0.000)
Rb (0.750, 0.250, 0.500)
U (0.250, 0.750, 0.500)
Tl (0.500, 0.500, 0.000)
S (0.174, 0.652, 0.099)
S (0.348, 0.447, 0.522)
S (0.553, 0.075, 0.901)
S (0.925, 0.826, 0.478)

***

A plane-wave DFT calculation with PBE-GGA was carried out for a relaxed structure of RbUTl2S6.

energy: -4.809 eV/atom
V: 596.0 Å³/cell

Lattice parameters (Å, degrees): 7.318 7.237 12.969 90.00 119.80 90.00
Atoms (fractional coordinates):
Rb (0.000, 0.000, 0.000)
Rb (0.000, 0.500, 0.500)
U (0.500, 0.000, 0.500)
U (0.500, 0.500, 0.000)
Tl (0.180, 0.015, 0.734)
Tl (0.180, 0.485, 0.234)
Tl (0.820, 0.515, 0.766)
Tl (0.820, 0.985, 0.266)
S (0.180, 0.126, 0.289)
S (0.180, 0.374, 0.789)
S (0.248, 0.611, 0.067)
S (0.248, 0.889, 0.567)
S (0.475, 0.691, 0.412)
S (0.475, 0.809, 0.912)
S (0.525, 0.191, 0.088)
S (0.525, 0.309, 0.588)
S (0.752, 0.111, 0.433)
S (0.752, 0.389, 0.933)
S (0.820, 0.626, 0.211)
S (0.820, 0.874, 0.711)

***

A plane-wave DFT calculation with PBE-GGA was carried out for a relaxed structure of RbTl2VS4.

energy: -4.682 eV/atom
V: 537.0 Å³/cell

Lattice parameters (Å, degrees): 8.777 9.585 6.384 90.00 90.00 90.00
Atoms (fractional coordinates):
Rb (0.000, 0.099, 0.000)
Rb (0.500, 0.901, 0.500)
Tl (0.205, 0.348, 0.533)
Tl (0.295, 0.652, 0.033)
Tl (0.705, 0.652, 0.033)
Tl (0.795, 0.348, 0.533)
V (0.000, 0.775, 0.403)
V (0.500, 0.225, 0.903)
S (0.000, 0.767, 0.061)
S (0.000, 0.988, 0.497)
S (0.210, 0.669, 0.499)
S (0.290, 0.331, 0.999)
S (0.500, 0.012, 0.997)
S (0.500, 0.233, 0.561)
S (0.710, 0.331, 0.999)
S (0.790, 0.669, 0.499)

***

A plane-wave DFT calculation with PBE-GGA was carried out for a relaxed structure of RbTlVS3.

energy: -4.973 eV/atom
V: 363.1 Å³/cell

Lattice parameters (Å, degrees): 8.389 8.389 6.613 90.19 90.19 128.71
Atoms (fractional coordinates):
Rb (0.207, 0.793, 0.750)
Rb (0.793, 0.207, 0.250)
Tl (0.409, 0.591, 0.250)
Tl (0.591, 0.409, 0.750)
V (0.052, 0.948, 0.250)
V (0.948, 0.052, 0.750)
S (0.195, 0.805, 0.250)
S (0.206, 0.208, 0.500)
S (0.208, 0.206, 0.000)
S (0.792, 0.794, 0.000)
S (0.794, 0.792, 0.500)
S (0.805, 0.195, 0.750)

***

A plane-wave DFT calculation with PBE-GGA was carried out for a relaxed structure of RbTlVS4.

energy: -4.847 eV/atom
V: 407.3 Å³/cell

Lattice parameters (Å, degrees): 6.896 6.896 9.803 90.00 90.00 119.10
Atoms (fractional coordinates):
Rb (0.189, 0.811, 0.750)
Rb (0.811, 0.189, 0.250)
Tl (0.500, 0.500, 0.000)
Tl (0.500, 0.500, 0.500)
V (0.155, 0.845, 0.250)
V (0.845, 0.155, 0.750)
S (0.209, 0.308, 0.750)
S (0.256, 0.744, 0.073)
S (0.256, 0.744, 0.427)
S (0.308, 0.209, 0.250)
S (0.692, 0.791, 0.750)
S (0.744, 0.256, 0.573)
S (0.744, 0.256, 0.927)
S (0.791, 0.692, 0.250)

***

A plane-wave DFT calculation with PBE-GGA was carried out for a relaxed structure of Rb3TlW2S8.

energy: -5.419 eV/atom
V: 483.8 Å³/cell

Lattice parameters (Å, degrees): 7.395 7.395 10.217 90.00 90.00 120.00
Atoms (fractional coordinates):
Rb (0.000, 0.000, 0.000)
Rb (0.333, 0.667, 0.675)
Rb (0.667, 0.333, 0.325)
Tl (0.000, 0.000, 0.500)
W (0.333, 0.667, 0.213)
W (0.667, 0.333, 0.787)
S (0.170, 0.340, 0.285)
S (0.170, 0.830, 0.285)
S (0.333, 0.667, 0.000)
S (0.340, 0.170, 0.715)
S (0.660, 0.830, 0.285)
S (0.667, 0.333, 0.000)
S (0.830, 0.170, 0.715)
S (0.830, 0.660, 0.715)

***

- The lowest energy belongs to which entry?
  Rb2U3TlS8

***

Please write out number 9 again, unchanged.
A plane-wave DFT calculation with PBE-GGA was carried out for a relaxed structure of RbTl2VS4.

energy: -4.682 eV/atom
V: 537.0 Å³/cell

Lattice parameters (Å, degrees): 8.777 9.585 6.384 90.00 90.00 90.00
Atoms (fractional coordinates):
Rb (0.000, 0.099, 0.000)
Rb (0.500, 0.901, 0.500)
Tl (0.205, 0.348, 0.533)
Tl (0.295, 0.652, 0.033)
Tl (0.705, 0.652, 0.033)
Tl (0.795, 0.348, 0.533)
V (0.000, 0.775, 0.403)
V (0.500, 0.225, 0.903)
S (0.000, 0.767, 0.061)
S (0.000, 0.988, 0.497)
S (0.210, 0.669, 0.499)
S (0.290, 0.331, 0.999)
S (0.500, 0.012, 0.997)
S (0.500, 0.233, 0.561)
S (0.710, 0.331, 0.999)
S (0.790, 0.669, 0.499)